{"formula": "LaNdSi4", "functional": "PBE", "state": "optimized geometry", "e_form_raw_ev_per_atom": -0.634, "energy_ev_per_cell": -70.39, "lattice": [[4.3219, 0.0000, 0.0000], [0.0000, 4.3219, 0.0000], [0.0000, 0.0000, 13.6714]], "species": ["La", "La", "Nd", "Nd", "Si", "Si", "Si", "Si", "Si", "Si", "Si", "Si"], "fractional_positions": [[0.0000, 0.0000, 0.0000], [0.5000, 0.5000, 0.5000], [0.0000, 0.5000, 0.7500], [0.5000, 0.0000, 0.2500], [0.0000, 0.0000, 0.4139], [0.0000, 0.0000, 0.5861], [0.0000, 0.5000, 0.1648], [0.0000, 0.5000, 0.3352], [0.5000, 0.0000, 0.6648], [0.5000, 0.0000, 0.8352], [0.5000, 0.5000, 0.0861], [0.5000, 0.5000, 0.9139]]}